Record 1
DFT (GGA-PBE) results for a relaxed Gd2Si2O7 crystal.

The structure in POSCAR format:
```
Gd2Si2O7
1.0
6.622 0.000 0.000
0.000 6.746 0.000
-3.970 0.000 12.095
Gd Si O
8 8 28
Direct
0.028 0.111 0.363
0.028 0.389 0.863
0.342 0.170 0.151
0.342 0.330 0.651
0.658 0.670 0.349
0.658 0.830 0.849
0.972 0.611 0.137
0.972 0.889 0.637
0.212 0.582 0.389
0.212 0.918 0.889
0.397 0.671 0.086
0.397 0.829 0.586
0.603 0.171 0.414
0.603 0.329 0.914
0.788 0.082 0.111
0.788 0.418 0.611
0.002 0.724 0.332
0.002 0.776 0.832
0.164 0.105 0.957
0.164 0.395 0.457
0.225 0.015 0.550
0.225 0.485 0.050
0.283 0.670 0.646
0.283 0.830 0.146
0.302 0.519 0.288
0.302 0.981 0.788
0.372 0.095 0.339
0.372 0.405 0.839
0.408 0.723 0.469
0.408 0.777 0.969
0.592 0.223 0.031
0.592 0.277 0.531
0.628 0.595 0.161
0.628 0.905 0.661
0.698 0.019 0.212
0.698 0.481 0.712
0.717 0.170 0.854
0.717 0.330 0.354
0.775 0.515 0.950
0.775 0.985 0.450
0.836 0.605 0.543
0.836 0.895 0.043
0.998 0.224 0.168
0.998 0.276 0.668
```

Calculated values
DFT total energy = -433.64 eV for the cell shown

---

Record 2
DFT (GGA-PBE) results for a relaxed TeIr2Br crystal.

The structure in POSCAR format:
```
TeIr2Br
1.0
4.540 0.000 0.000
0.000 4.540 0.000
0.000 0.000 3.537
Te Ir Br
1 2 1
Direct
0.000 0.000 0.000
0.000 0.500 0.500
0.500 0.000 0.500
0.500 0.500 0.000
```

Calculated values
DFT total energy = -18.78 eV for the cell shown

---

Record 3
DFT (GGA-PBE) results for a relaxed Sr2Cd2Ga crystal.

The structure in POSCAR format:
```
Sr2Cd2Ga
1.0
5.906 -2.406 0.000
5.906 2.406 0.000
-5.449 0.000 10.751
Sr Cd Ga
4 4 2
Direct
0.019 0.019 0.342
0.198 0.198 0.115
0.802 0.802 0.885
0.981 0.981 0.658
0.351 0.351 0.440
0.490 0.490 0.119
0.510 0.510 0.881
0.649 0.649 0.560
0.275 0.275 0.657
0.725 0.725 0.343
```

Calculated values
Calculated formation energy = -0.355 eV/atom

---

Record 4
DFT (GGA-PBE) results for a relaxed BaLaNi crystal.

The structure in POSCAR format:
```
BaLaNi
1.0
0.000 3.637 3.637
3.637 0.000 3.637
3.637 3.637 0.000
Ba La Ni
1 1 1
Direct
0.000 0.000 0.000
0.500 0.500 0.500
0.750 0.750 0.750
```

Calculated values
Calculated formation energy = 0.124 eV/atom

---

Record 5
DFT (GGA-PBE) results for a relaxed K2Pu3ZnO12 crystal.

The structure in POSCAR format:
```
K2Pu3ZnO12
1.0
3.931 2.269 5.868
-3.931 2.269 5.868
0.000 -4.539 5.868
K Pu Zn O
2 3 1 12
Direct
0.126 0.126 0.126
0.874 0.874 0.874
0.000 0.500 0.500
0.500 0.000 0.500
0.500 0.500 0.000
0.500 0.500 0.500
0.177 0.566 0.566
0.179 0.179 0.568
0.179 0.568 0.179
0.432 0.821 0.821
0.434 0.434 0.823
0.434 0.823 0.434
0.566 0.177 0.566
0.566 0.566 0.177
0.568 0.179 0.179
0.821 0.432 0.821
0.821 0.821 0.432
0.823 0.434 0.434
```

Calculated values
DFT total energy = -145.59 eV for the cell shown

---

Record 6
DFT (GGA-PBE) results for a relaxed InFeP2 crystal.

The structure in POSCAR format:
```
InFeP2
1.0
2.732 0.000 0.000
0.000 3.489 0.000
0.000 0.000 7.449
In Fe P
1 1 2
Direct
0.000 0.000 0.000
0.500 0.500 0.541
0.000 0.000 0.617
0.500 0.500 0.258
```

Calculated values
Calculated formation energy = 0.128 eV/atom